Entry 1:
## Sm5Ni2Ir (PBE-GGA)

Data for crystalline Sm5Ni2Ir at its relaxed geometry.

Cell and atoms, written as CIF:
```
data_Sm5Ni2Ir
_chemical_formula_sum 'Sm20 Ni8 Ir4'
_cell_length_a 7.173
_cell_length_b 7.173
_cell_length_c 15.001
_cell_angle_alpha 90.00
_cell_angle_beta 90.00
_cell_angle_gamma 90.00
_symmetry_space_group_name_H-M 'I 4/m c m'
_symmetry_Int_Tables_number 140
_symmetry_space_group_name_Hall '-I 4 2c'
loop_
_atom_site_label
_atom_site_fract_x
_atom_site_fract_y
_atom_site_fract_z
Sm1 0.000 0.000 0.000
Sm2 0.175 0.325 0.146
Ni1 0.118 0.382 0.500
Ir1 0.000 0.000 0.250
```

Calculated values
For the magnetization, the calculation gives 0.000 μB per atom. For the formation energy from the elements, the calculation gives -385 meV/atom.

Entry 2:
## Sm8NiIr2 (PBE-GGA)

Data for crystalline Sm8NiIr2 at its relaxed geometry.

Cell and atoms, written as CIF:
```
data_Sm8NiIr2
_chemical_formula_sum 'Sm16 Ni2 Ir4'
_cell_length_a 8.532
_cell_length_b 12.397
_cell_length_c 6.303
_cell_angle_alpha 90.00
_cell_angle_beta 109.82
_cell_angle_gamma 90.00
_symmetry_space_group_name_H-M 'C 1 m 1'
_symmetry_Int_Tables_number 8
_symmetry_space_group_name_Hall 'C -2y'
loop_
_atom_site_label
_atom_site_fract_x
_atom_site_fract_y
_atom_site_fract_z
Sm1 0.000 0.000 0.000
Sm2 0.069 0.366 0.825
Sm3 0.143 0.133 0.585
Sm4 0.215 0.500 0.393
Sm5 0.362 0.200 0.197
Ni1 0.355 0.000 0.995
Ir1 0.354 0.315 0.697
```

Calculated values
For the magnetization, the calculation gives 0.000 μB per atom. For the formation energy from the elements, the calculation gives -292 meV/atom.

Entry 3:
## Sm3NiIr (PBE-GGA)

Data for crystalline Sm3NiIr at its relaxed geometry.

Cell and atoms, written as CIF:
```
data_Sm3NiIr
_chemical_formula_sum 'Sm6 Ni2 Ir2'
_cell_length_a 6.553
_cell_length_b 3.995
_cell_length_c 9.414
_cell_angle_alpha 90.00
_cell_angle_beta 90.07
_cell_angle_gamma 90.00
_symmetry_space_group_name_H-M 'P 1 21/m 1'
_symmetry_Int_Tables_number 11
_symmetry_space_group_name_Hall '-P 2yb'
loop_
_atom_site_label
_atom_site_fract_x
_atom_site_fract_y
_atom_site_fract_z
Sm1 0.223 0.250 0.250
Sm2 0.268 0.750 0.559
Sm3 0.268 0.750 0.940
Ni1 0.075 0.250 0.750
Ir1 0.468 0.250 0.750
```

Calculated values
For the magnetization, the calculation gives 0.000 μB per atom. For the formation energy from the elements, the calculation gives -440 meV/atom.

Entry 4:
## Sm3NiIr8 (PBE-GGA)

Data for crystalline Sm3NiIr8 at its relaxed geometry.

Cell and atoms, written as CIF:
```
data_Sm3NiIr8
_chemical_formula_sum 'Sm9 Ni3 Ir24'
_cell_length_a 5.3593
_cell_length_b 5.3593
_cell_length_c 26.2753
_cell_angle_alpha 90.00
_cell_angle_beta 90.00
_cell_angle_gamma 120.00
_symmetry_space_group_name_H-M 'R 3 m'
_symmetry_Int_Tables_number 160
_symmetry_space_group_name_Hall 'R 3 -2"'
loop_
_atom_site_label
_atom_site_fract_x
_atom_site_fract_y
_atom_site_fract_z
Sm1 0.0000 0.0000 0.0000
Sm2 0.0000 0.0000 0.1299
Sm3 0.0000 0.0000 0.5163
Ni1 0.0000 0.0000 0.6539
Ir1 0.0000 0.0000 0.3161
Ir2 0.0000 0.0000 0.8175
Ir3 0.0009 0.5005 0.5684
Ir4 0.0014 0.5007 0.0665
```

Calculated values
For the magnetization, the calculation gives 0.061 μB per atom. For the formation energy from the elements, the calculation gives -449 meV/atom.